Nd4V6O19 | PBE with a Hubbard U | optimized geometry

Its crystal system is cubic. The value obtained for the calculated volume is 686.58 Å³/cell. Its raw total energy is -7.893 eV per atom.

Structure (CIF):
```
data_Nd4V6O19
_space_group_name_H-M_alt 'I 2 3'
_space_group_IT_number 197
_space_group_name_Hall 'I 2 2 3'
_cell_length_a 8.8219
_cell_length_b 8.8219
_cell_length_c 8.8219
_cell_angle_alpha 90.00
_cell_angle_beta 90.00
_cell_angle_gamma 90.00
loop_
_atom_site_label
_atom_site_fract_x
_atom_site_fract_y
_atom_site_fract_z
_atom_site_occupancy
Nd1 0.1619 0.1619 0.8381 1
V1 0.0000 0.3359 0.5000 1
O1 0.0000 0.0000 0.0000 1
O2 0.0000 0.0000 0.3562 1
O3 0.0397 0.3183 0.2895 1
```